# Li3CrO3 GGA+U optimized geometry
# Relative energy among the computed polymorphs = 0 meV/atom
# Total magnetic moment = 0.429 μB/atom
data_Li3CrO3
_space_group_name_H-M_alt 'P -3 1 c'
_space_group_IT_number 163
_space_group_name_Hall '-P 3 2c'
_cell_length_a 5.4593
_cell_length_b 5.4593
_cell_length_c 9.8585
_cell_angle_alpha 90.00
_cell_angle_beta 90.00
_cell_angle_gamma 120.00
loop_
_atom_site_label
_atom_site_type_symbol
_atom_site_fract_x
_atom_site_fract_y
_atom_site_fract_z
Li1 Li 0.0563 0.3761 0.4229
Cr1 Cr 0.0000 0.0000 0.2500
Cr2 Cr 0.3333 0.6667 0.7500
O1 O 0.0442 0.3382 0.6317